Record 1
## TaTiVAu2 (GGA-PBE)

Data for TaTiVAu2 after structural relaxation.

Computed properties:
DFT total energy, Ry/atom: -0.4152

Cell: 5.0527 5.0527 4.6357 Å, 90.00 90.00 90.00°
Space group P4/mmm (No. 123)
Inequivalent atoms, fractional coordinates:
Ta 0.0000 0.0000 0.0000 (multiplicity 1)
Ti 0.0000 0.0000 0.5000 (multiplicity 1)
V 0.5000 0.5000 0.5000 (multiplicity 1)
Au 0.0000 0.5000 0.0000 (multiplicity 2)

---

Record 2
## TaTl2Au (GGA-PBE)

Data for TaTl2Au after structural relaxation.

Computed properties:
Offset from the most stable computed form, meV per atom: 346

Cell: 4.2060 4.2060 9.8037 Å, 90.00 90.00 90.00°
Space group I4/mmm (No. 139)
Inequivalent atoms, fractional coordinates:
Ta 0.0000 0.0000 0.0000 (multiplicity 2)
Tl 0.0000 0.5000 0.2500 (multiplicity 4)
Au 0.0000 0.0000 0.5000 (multiplicity 2)

---

Record 3
## TaTl2Au (GGA-PBE)

Data for TaTl2Au after structural relaxation.

Computed properties:
Offset from the most stable computed form, meV per atom: 258

Cell: 3.1021 4.7649 5.8554 Å, 90.00 93.18 90.00°
Space group P2/m (No. 10)
Inequivalent atoms, fractional coordinates:
Ta 0.0000 0.0000 0.0000 (multiplicity 1)
Tl 0.3081 0.5000 0.7552 (multiplicity 2)
Au 0.5000 0.0000 0.5000 (multiplicity 1)

---

Record 4
## TaTlAu2 (GGA-PBE)

Data for TaTlAu2 after structural relaxation.

Computed properties:
DFT total energy, Ry/atom: -0.3492

Cell: 6.7699 6.7699 6.7699 Å, 90.00 90.00 90.00°
Space group F-43m (No. 216)
Inequivalent atoms, fractional coordinates:
Ta 0.0000 0.0000 0.0000 (multiplicity 4)
Tl 0.2500 0.2500 0.7500 (multiplicity 4)
Au 0.0000 0.0000 0.5000 (multiplicity 4)
Au 0.2500 0.2500 0.2500 (multiplicity 4)

---

Record 5
## TaTlAu2 (GGA-PBE)

Data for TaTlAu2 after structural relaxation.

Computed properties:
DFT total energy, Ry/atom: -0.3552

Cell: 3.0592 5.0374 5.0936 Å, 90.00 90.00 90.00°
Space group Pmmm (No. 47)
Inequivalent atoms, fractional coordinates:
Ta 0.0000 0.0000 0.0000 (multiplicity 1)
Tl 0.5000 0.5000 0.0000 (multiplicity 1)
Au 0.0000 0.5000 0.5000 (multiplicity 1)
Au 0.5000 0.0000 0.5000 (multiplicity 1)

---

Record 6
## TaTl2Au (GGA-PBE)

Data for TaTl2Au after structural relaxation.

Computed properties:
Offset from the most stable computed form, meV per atom: 476

Cell: 7.0348 7.0348 7.0348 Å, 90.00 90.00 90.00°
Space group Fm-3m (No. 225)
Inequivalent atoms, fractional coordinates:
Ta 0.0000 0.0000 0.0000 (multiplicity 4)
Tl 0.2500 0.2500 0.2500 (multiplicity 8)
Au 0.0000 0.0000 0.5000 (multiplicity 4)

---

Record 7
## TaTlAu2 (GGA-PBE)

Data for TaTlAu2 after structural relaxation.

Computed properties:
DFT total energy, Ry/atom: -0.3608

Cell: 2.9442 5.1629 11.0117 Å, 90.00 90.00 90.00°
Space group Immm (No. 71)
Inequivalent atoms, fractional coordinates:
Ta 0.0000 0.0000 0.0000 (multiplicity 2)
Tl 0.0000 0.0000 0.5000 (multiplicity 2)
Au 0.0000 0.5000 0.2841 (multiplicity 4)

---

Record 8
## Ta2Tl2Au (GGA-PBE)

Data for Ta2Tl2Au after structural relaxation.

Computed properties:
DFT total energy, Ry/atom: -0.4118

Cell: 3.7999 3.7999 15.9245 Å, 90.00 90.00 90.00°
Space group I4/mmm (No. 139)
Inequivalent atoms, fractional coordinates:
Ta 0.0000 0.5000 0.2500 (multiplicity 4)
Tl 0.0000 0.0000 0.0961 (multiplicity 4)
Au 0.0000 0.0000 0.5000 (multiplicity 2)